The following is a meta-GGA SCAN calculation of a crystal of AlTl2Cl relaxed with PBEsol, from the Alexandria database.

Calculated values
Space-group type = Immm (71)
M_tot = 0.00 μB/f.u.
Excess energy over the best structure of this formula in the dataset = 166 meV/atom
Total energy = -40.17 eV/atom
Formation energy from raw total energies = -0.0629 eV/atom
Fermi-level density of states = 2.23 states/eV/f.u.
ρ = 7.88 g cm⁻³

Unit cell a=3.7239 b=5.1557 c=6.0708 alpha=115.13 beta=107.86 gamma=90.00
Sites, in units of the cell vectors:
Tl (0.7730, 0.7730, 0.5461)
Tl (0.2270, 0.2270, 0.4539)
Al (0.5000, 0.0000, 0.0000)
Cl (0.0000, 0.5000, 0.0000)

***

The following is a meta-GGA SCAN calculation of a crystal of AlTl2Cl relaxed with PBEsol, from the Alexandria database.

Calculated values
Space-group type = Fm-3m (225)
M_tot = 0.00 μB/f.u.
Excess energy over the best structure of this formula in the dataset = 220 meV/atom
Total energy = -40.12 eV/atom
Formation energy from raw total energies = -0.0092 eV/atom
Fermi-level density of states = 3.65 states/eV/f.u.
ρ = 7.91 g cm⁻³

Unit cell a=5.1906 b=5.1906 c=5.1906 alpha=60.00 beta=60.00 gamma=60.00
Sites, in units of the cell vectors:
Tl (0.2500, 0.2500, 0.2500)
Tl (0.7500, 0.7500, 0.7500)
Al (0.0000, 0.0000, 0.0000)
Cl (0.5000, 0.5000, 0.5000)

***

The following is a meta-GGA SCAN calculation of a crystal of AlTlCl4 relaxed with PBEsol, from the Alexandria database.

Calculated values
Space-group type = Pnma (62)
M_tot = 0.00 μB/f.u.
Total energy = -20.25 eV/atom
Formation energy from raw total energies = -1.5779 eV/atom
Fermi-level density of states = 0.00 states/eV/f.u.
ρ = 3.62 g cm⁻³

Unit cell a=6.9734 b=9.4016 c=10.4468 alpha=90.00 beta=90.00 gamma=90.00
Sites, in units of the cell vectors:
Al (0.2500, 0.3154, 0.4405)
Al (0.2500, 0.1846, 0.9405)
Al (0.7500, 0.6846, 0.5595)
Al (0.7500, 0.8154, 0.0595)
Tl (0.7500, 0.2243, 0.7009)
Tl (0.2500, 0.7243, 0.7991)
Tl (0.2500, 0.7757, 0.2991)
Tl (0.7500, 0.2757, 0.2009)
Cl (0.4991, 0.1799, 0.4400)
Cl (0.2500, 0.4379, 0.2670)
Cl (0.5009, 0.6799, 0.0600)
Cl (0.9991, 0.6799, 0.0600)
Cl (0.4991, 0.3201, 0.9400)
Cl (0.7500, 0.5621, 0.7330)
Cl (0.2500, 0.0621, 0.7670)
Cl (0.7500, 0.9440, 0.8907)
Cl (0.9991, 0.8201, 0.5600)
Cl (0.5009, 0.8201, 0.5600)
Cl (0.7500, 0.9379, 0.2330)
Cl (0.2500, 0.0560, 0.1093)
Cl (0.0009, 0.1799, 0.4400)
Cl (0.2500, 0.4440, 0.6093)
Cl (0.7500, 0.5560, 0.3907)
Cl (0.0009, 0.3201, 0.9400)

***

The following is a meta-GGA SCAN calculation of a crystal of AlTl2Cl relaxed with PBEsol, from the Alexandria database.

Calculated values
Space-group type = C2/m (12)
M_tot = 0.00 μB/f.u.
Excess energy over the best structure of this formula in the dataset = 0 meV/atom
Total energy = -40.34 eV/atom
Formation energy from raw total energies = -0.2292 eV/atom
Fermi-level density of states = 1.41 states/eV/f.u.
ρ = 8.15 g cm⁻³

Unit cell a=3.3096 b=5.3852 c=5.3852 alpha=90.10 beta=90.33 gamma=90.33
Sites, in units of the cell vectors:
Tl (0.0000, 0.5000, 0.0000)
Tl (0.0000, 0.0000, 0.5000)
Al (0.5000, 0.0000, 0.0000)
Cl (0.5000, 0.5000, 0.5000)